# CrSb2Br

A relaxed structure of CrSb2Br (PBE, Alexandria).

abc: 3.4758 3.4758 9.5817
angles: 90.00 90.00 110.06
Closest atoms and distances in Å follow each position.
Fractional positions:
Br 0.0000 0.0000 0.5797  2 Cr 2.59
Cr 0.5000 0.5000 0.7528  2 Br 2.59, 2 Sb 2.83
Sb 0.0000 0.0000 0.9622  2 Cr 2.83, 2 Sb 3.07
Sb 0.5000 0.5000 0.2054  2 Sb 3.07

Properties
**Crystal system**: orthorhombic
**Volume**: 27.2 Å³ per atom
**Fermi-level density of states**: 3.047 states/eV per cell
**Uncorrected formation energy**: 17.4 kJ/mol of atoms
**Total DFT energy (no corrections)**: -18.82 eV per cell

# CrSb3Br

A relaxed structure of CrSb3Br (PBE, Alexandria).

abc: 5.4164 5.4164 5.4164
angles: 90.00 90.00 90.00
Closest atoms and distances in Å follow each position.
Fractional positions:
Sb 0.0000 0.5000 0.0000  2 Br 2.71
Sb 0.0000 0.0000 0.5000  2 Br 2.71
Sb 0.5000 0.0000 0.0000  2 Br 2.71
Br 0.0000 0.0000 0.0000  6 Sb 2.71
Cr 0.5000 0.5000 0.5000  12 Sb 3.83

Properties
**Crystal system**: cubic
**Volume**: 31.8 Å³ per atom
**Fermi-level density of states**: 7.736 states/eV per cell
**Uncorrected formation energy**: 161.0 kJ/mol of atoms
**Total DFT energy (no corrections)**: -15.32 eV per cell

# CrSb2Br

A relaxed structure of CrSb2Br (PBE, Alexandria).

abc: 4.4634 4.4634 8.5528
angles: 107.32 107.32 48.11
Closest atoms and distances in Å follow each position.
Fractional positions:
Br 0.7500 0.7500 0.7500  2 Sb 2.79
Cr 0.2500 0.2500 0.2500  6 Sb 2.73-2.76
Sb 0.8992 0.8992 0.0936  3 Cr 2.73-2.76, 1 Br 2.79
Sb 0.6008 0.6008 0.4064  3 Cr 2.73-2.76, 1 Br 2.79

Properties
**Crystal system**: monoclinic
**Volume**: 30.0 Å³ per atom
**Fermi-level density of states**: 2.756 states/eV per cell
**Uncorrected formation energy**: 7.4 kJ/mol of atoms
**Total DFT energy (no corrections)**: -19.23 eV per cell

# CrSb2Br

A relaxed structure of CrSb2Br (PBE, Alexandria).

abc: 5.1630 5.1697 5.1736
angles: 68.92 73.64 111.00
Closest atoms and distances in Å follow each position.
Fractional positions:
Br 0.0000 0.5000 0.5000  4 Sb 2.93, 2 Cr 3.10
Cr 0.5000 0.5000 0.0000  4 Sb 2.93, 2 Br 3.10
Sb 0.0000 0.0000 0.0000  2 Br 2.93, 2 Cr 2.93, 2 Sb 3.10
Sb 0.5000 0.0000 0.5000  2 Cr 2.93, 2 Br 2.93, 2 Sb 3.10

Properties
**Crystal system**: monoclinic
**Volume**: 26.5 Å³ per atom
**Fermi-level density of states**: 2.716 states/eV per cell
**Uncorrected formation energy**: 27.5 kJ/mol of atoms
**Total DFT energy (no corrections)**: -18.40 eV per cell

# CrSb2Br

A relaxed structure of CrSb2Br (PBE, Alexandria).

abc: 7.0513 7.0513 7.0513
angles: 152.23 141.18 48.40
Closest atoms and distances in Å follow each position.
Fractional positions:
Br 0.7500 0.2500 0.5000  4 Cr 2.89
Cr 0.2500 0.7500 0.5000  4 Br 2.89, 4 Sb 3.06
Sb 0.0520 0.0520 0.0000  2 Cr 3.06, 6 Sb 3.18-3.38
Sb 0.4480 0.4480 0.0000  2 Cr 3.06, 6 Sb 3.18-3.38

Properties
**Crystal system**: orthorhombic
**Volume**: 25.5 Å³ per atom
**Fermi-level density of states**: 2.276 states/eV per cell
**Uncorrected formation energy**: 17.1 kJ/mol of atoms
**Total DFT energy (no corrections)**: -18.83 eV per cell

# ScCrSbBr2

A relaxed structure of ScCrSbBr2 (PBE, Alexandria).

abc: 5.7359 5.6165 5.7359
angles: 90.00 90.00 90.00
Closest atoms and distances in Å follow each position.
Fractional positions:
Sc 0.0000 0.5000 0.0000  2 Sb 2.81
Sb 0.0000 0.0000 0.0000  2 Sc 2.81, 4 Br 2.87
Br 0.0000 0.0000 0.5000  2 Sb 2.87
Br 0.5000 0.0000 0.0000  2 Sb 2.87
Cr 0.5000 0.5000 0.5000  8 Br 4.01, 4 Sc 4.06

Properties
**Crystal system**: tetragonal
**Volume**: 37.0 Å³ per atom
**Fermi-level density of states**: 3.606 states/eV per cell
**Uncorrected formation energy**: 55.7 kJ/mol of atoms
**Total DFT energy (no corrections)**: -20.54 eV per cell

# Cr2SbSeBr

A relaxed structure of Cr2SbSeBr (PBE, Alexandria).

abc: 4.9187 5.8400 4.9187
angles: 90.00 90.00 90.00
Closest atoms and distances in Å follow each position.
Fractional positions:
Sb 0.0000 0.5000 0.0000  2 Br 2.92
Se 0.5000 0.5000 0.5000  4 Sb 3.48, 8 Cr 3.82
Br 0.0000 0.0000 0.0000  4 Cr 2.46
Cr 0.0000 0.0000 0.5000  2 Br 2.46
Cr 0.5000 0.0000 0.0000  2 Br 2.46

Properties
**Crystal system**: tetragonal
**Volume**: 28.3 Å³ per atom
**Fermi-level density of states**: 3.655 states/eV per cell
**Uncorrected formation energy**: 96.6 kJ/mol of atoms
**Total DFT energy (no corrections)**: -23.52 eV per cell

# CrSnSbBr2

A relaxed structure of CrSnSbBr2 (PBE, Alexandria).

abc: 5.4991 6.1493 5.4991
angles: 90.00 90.00 90.00
Closest atoms and distances in Å follow each position.
Fractional positions:
Sb 0.0000 0.0000 0.0000  4 Br 2.75, 2 Sn 3.07
Sn 0.0000 0.5000 0.0000  2 Sb 3.07
Br 0.0000 0.0000 0.5000  2 Sb 2.75
Br 0.5000 0.0000 0.0000  2 Sb 2.75
Cr 0.5000 0.5000 0.5000  4 Sn 3.89, 8 Br 4.12

Properties
**Crystal system**: tetragonal
**Volume**: 37.2 Å³ per atom
**Fermi-level density of states**: 3.169 states/eV per cell
**Uncorrected formation energy**: 55.3 kJ/mol of atoms
**Total DFT energy (no corrections)**: -18.23 eV per cell

# Sr2CrSbBr

A relaxed structure of Sr2CrSbBr (PBE, Alexandria).

abc: 5.8547 5.7512 5.8547
angles: 90.00 90.00 90.00
Closest atoms and distances in Å follow each position.
Fractional positions:
Sb 0.0000 0.5000 0.0000  2 Br 2.88
Cr 0.5000 0.5000 0.5000  8 Sr 4.10, 4 Sb 4.14
Br 0.0000 0.0000 0.0000  2 Sb 2.88, 4 Sr 2.93
Sr 0.0000 0.0000 0.5000  2 Br 2.93
Sr 0.5000 0.0000 0.0000  2 Br 2.93

Properties
**Crystal system**: tetragonal
**Volume**: 39.4 Å³ per atom
**Fermi-level density of states**: 2.474 states/eV per cell
**Uncorrected formation energy**: 15.0 kJ/mol of atoms
**Total DFT energy (no corrections)**: -18.00 eV per cell

# Sc2CrBr

A relaxed structure of Sc2CrBr (PBE, Alexandria).

abc: 3.3203 3.3203 8.5924
angles: 90.00 90.00 90.00
Closest atoms and distances in Å follow each position.
Fractional positions:
Br 0.0000 0.0000 0.4602  4 Sc 2.90
Cr 0.5000 0.5000 0.7847  4 Sc 2.96
Sc 0.0000 0.0000 0.9938  4 Cr 2.96, 4 Sc 3.29
Sc 0.5000 0.5000 0.2613  4 Br 2.90

Properties
**Crystal system**: tetragonal
**Volume**: 23.7 Å³ per atom
**Fermi-level density of states**: 5.180 states/eV per cell
**Uncorrected formation energy**: 0.6 kJ/mol of atoms
**Total DFT energy (no corrections)**: -23.94 eV per cell

# ScCrBr2

A relaxed structure of ScCrBr2 (PBE, Alexandria).

abc: 10.2217 10.2217 10.2217
angles: 20.00 20.00 20.00
Closest atoms and distances in Å follow each position.
Fractional positions:
Br 0.0243 0.0243 0.0243  3 Sc 2.71
Br 0.4757 0.4757 0.4757  3 Sc 2.71
Cr 0.2500 0.2500 0.2500  6 Cr 3.55, 6 Br 3.83
Sc 0.7500 0.7500 0.7500  6 Br 2.71

Properties
**Crystal system**: trigonal
**Volume**: 27.3 Å³ per atom
**Fermi-level density of states**: 2.163 states/eV per cell
**Uncorrected formation energy**: -37.1 kJ/mol of atoms
**Total DFT energy (no corrections)**: -20.84 eV per cell

# ScCr3Br

A relaxed structure of ScCr3Br (PBE, Alexandria).

abc: 4.5734 4.5734 4.5734
angles: 90.00 90.00 90.00
Closest atoms and distances in Å follow each position.
Fractional positions:
Sc 0.5000 0.5000 0.5000  12 Cr 3.23
Cr 0.0000 0.5000 0.0000  2 Br 2.29
Cr 0.0000 0.0000 0.5000  2 Br 2.29
Cr 0.5000 0.0000 0.0000  2 Br 2.29
Br 0.0000 0.0000 0.0000  6 Cr 2.29

Properties
**Crystal system**: cubic
**Volume**: 19.1 Å³ per atom
**Fermi-level density of states**: 5.685 states/eV per cell
**Uncorrected formation energy**: 98.3 kJ/mol of atoms
**Total DFT energy (no corrections)**: -31.78 eV per cell